VASP calculation (PBE) on Cs3AlP2 after structural relaxation.

a b c (Å): 11.4327 8.8367 19.2694
angles (deg): 90.00 100.57 90.00
Fractional positions:
Cs (0.0831, 0.0600, 0.2416)
Cs (0.0831, 0.4400, 0.7416)
Cs (0.1474, 0.5343, 0.9654)
Cs (0.1474, 0.9657, 0.4654)
Cs (0.2614, 0.1012, 0.9194)
Cs (0.2614, 0.3988, 0.4194)
Cs (0.2904, 0.1157, 0.6606)
Cs (0.2904, 0.3843, 0.1606)
Cs (0.3639, 0.7461, 0.2890)
Cs (0.3639, 0.7539, 0.7890)
Cs (0.3750, 0.5771, 0.6067)
Cs (0.3750, 0.9229, 0.1067)
Cs (0.6250, 0.0771, 0.8933)
Cs (0.6250, 0.4229, 0.3933)
Cs (0.6361, 0.2461, 0.2110)
Cs (0.6361, 0.2539, 0.7110)
Cs (0.7096, 0.6157, 0.8394)
Cs (0.7096, 0.8843, 0.3394)
Cs (0.7386, 0.6012, 0.5806)
Cs (0.7386, 0.8988, 0.0806)
Cs (0.8526, 0.0343, 0.5346)
Cs (0.8526, 0.4657, 0.0346)
Cs (0.9169, 0.5600, 0.2584)
Cs (0.9169, 0.9400, 0.7584)
Al (0.0423, 0.6115, 0.5542)
Al (0.0423, 0.8885, 0.0542)
Al (0.4634, 0.0523, 0.4276)
Al (0.4634, 0.4477, 0.9276)
Al (0.5366, 0.5523, 0.0724)
Al (0.5366, 0.9477, 0.5724)
Al (0.9577, 0.1115, 0.9458)
Al (0.9577, 0.3885, 0.4458)
P (0.0599, 0.1543, 0.0618)
P (0.0599, 0.3457, 0.5618)
P (0.1005, 0.7133, 0.1395)
P (0.1005, 0.7867, 0.6395)
P (0.4047, 0.1376, 0.3145)
P (0.4047, 0.3624, 0.8145)
P (0.4948, 0.7003, 0.9683)
P (0.4948, 0.7997, 0.4683)
P (0.5052, 0.2003, 0.5317)
P (0.5052, 0.2997, 0.0317)
P (0.5953, 0.6376, 0.1855)
P (0.5953, 0.8624, 0.6855)
P (0.8995, 0.2133, 0.3605)
P (0.8995, 0.2867, 0.8605)
P (0.9401, 0.6543, 0.4382)
P (0.9401, 0.8457, 0.9382)

**Calculated formation energy**: -0.464 eV per atom

---

VASP calculation (PBE) on Ag2OsRh after structural relaxation.

a b c (Å): 2.7524 4.7086 4.9494
angles (deg): 90.00 90.00 90.00
Fractional positions:
Ag (0.0000, 0.0000, 0.0000)
Ag (0.5000, 0.5000, 0.0000)
Os (0.0000, 0.5000, 0.5000)
Rh (0.5000, 0.0000, 0.5000)

**Calculated formation energy**: 0.560 eV per atom
**Excess energy over the best structure of this formula in the dataset**: 0.296 eV/atom

---

VASP calculation (PBE) on AgPd2O4 after structural relaxation.

a b c (Å): 6.4139 6.3999 6.3921
angles (deg): 60.19 59.97 59.85
Fractional positions:
Ag (0.1250, 0.1250, 0.1250)
Ag (0.8750, 0.8750, 0.8750)
Pd (0.0000, 0.5000, 0.5000)
Pd (0.5000, 0.0000, 0.5000)
Pd (0.5000, 0.5000, 0.0000)
Pd (0.5000, 0.5000, 0.5000)
O (0.2691, 0.6900, 0.2710)
O (0.2699, 0.2710, 0.6900)
O (0.2710, 0.2699, 0.2691)
O (0.3100, 0.7309, 0.7301)
O (0.6900, 0.2691, 0.2699)
O (0.7290, 0.7301, 0.7309)
O (0.7301, 0.7290, 0.3100)
O (0.7309, 0.3100, 0.7290)

**Excess energy over the best structure of this formula in the dataset**: 0.000 eV/atom

---

VASP calculation (PBE) on Li2YRe after structural relaxation.

a b c (Å): 5.4118 5.4118 5.2952
angles (deg): 113.57 113.57 30.61
Fractional positions:
Li (0.0000, 0.0000, 0.0000)
Li (0.7380, 0.7380, 0.1111)
Y (0.5083, 0.5083, 0.4974)
Re (0.2719, 0.2719, 0.6455)

**Calculated formation energy**: 0.478 eV per atom
**Excess energy over the best structure of this formula in the dataset**: 0.088 eV/atom

---

VASP calculation (PBE) on SrTaAu2 after structural relaxation.

a b c (Å): 6.1908 6.1908 6.1908
angles (deg): 44.10 44.10 44.10
Fractional positions:
Sr (0.0000, 0.0000, 0.0000)
Ta (0.5000, 0.5000, 0.5000)
Au (0.1972, 0.1972, 0.1972)
Au (0.8028, 0.8028, 0.8028)

**Calculated formation energy**: -0.129 eV per atom
**Excess energy over the best structure of this formula in the dataset**: 0.000 eV/atom

---

VASP calculation (PBE) on Li2ZnPt after structural relaxation.

a b c (Å): 4.2993 4.2993 4.2993
angles (deg): 120.28 120.28 89.52
Fractional positions:
Li (0.0000, 0.0000, 0.0000)
Li (0.7500, 0.2500, 0.5000)
Zn (0.2500, 0.7500, 0.5000)
Pt (0.5000, 0.5000, 0.0000)

**Calculated formation energy**: -0.548 eV per atom